## Pr2Zn4SnPt3 (PBE)

Data for Pr2Zn4SnPt3 after structural relaxation.

Unit cell a=4.149 b=4.149 c=11.664 alpha=90.00 beta=90.00 gamma=90.00
Fractional coordinates of all 10 atoms:
1 Pr 0.000 0.500 0.240
2 Pr 0.500 0.000 0.760
3 Zn 0.000 0.000 0.000
4 Zn 0.000 0.500 0.646
5 Zn 0.500 0.000 0.354
6 Zn 0.500 0.500 0.000
7 Sn 0.000 0.000 0.500
8 Pt 0.000 0.500 0.863
9 Pt 0.500 0.000 0.137
10 Pt 0.500 0.500 0.500

Computed properties:
Density of states at the Fermi level, states/eV/atom: 0.51
Energy of formation, meV per atom: -693